VASP calculation (PBE-GGA) on a geometry-optimized TbMn2Fe9 structure.

Calculated values
DOS at the Fermi energy: 1.410 states/eV/atom
SG: No. 127
energy of formation: 0.056 eV per atom

Cell: 4.788 8.059 8.059 Å, 90.00 90.00 90.00°
Last column: magnetic moment on the atom in μB.
Element x y z (fractional)
Mn 0.000 0.118 0.382  3.06
Fe 0.500 0.213 0.931  2.12
Fe 0.765 0.824 0.324  1.51
Fe 0.500 0.569 0.287  2.12
Fe 0.235 0.676 0.824  1.51
Fe 0.500 0.713 0.569  2.12
Mn 0.000 0.618 0.118  3.06
Fe 0.500 0.500 0.000  1.56
Fe 0.765 0.324 0.176  1.51
Fe 0.765 0.676 0.824  1.51
Mn 0.000 0.882 0.618  3.06
Fe 0.500 0.287 0.431  2.12
Mn 0.000 0.382 0.882  3.06
Fe 0.235 0.176 0.676  1.51
Fe 0.235 0.824 0.324  1.51
Fe 0.765 0.176 0.676  1.51
Tb 0.000 0.500 0.500  -0.34
Fe 0.500 0.787 0.069  2.12
Fe 0.500 0.000 0.500  1.56
Fe 0.500 0.069 0.213  2.12
Fe 0.235 0.324 0.176  1.51
Fe 0.500 0.431 0.713  2.12
Fe 0.500 0.931 0.787  2.12
Tb 0.000 0.000 0.000  -0.34